# 1
Entry from Alexandria: a geometry-optimized BaFeAsBr2 structure (PBE-GGA).

excess energy over the best structure of this formula in the dataset	96.4	kJ per mole of atoms
space-group type	No. 123
uncorrected formation energy	143	kJ/mol of formula units

```
data_BaFeAsBr2
_space_group_name_H-M_alt 'P 1'
_space_group_IT_number 1
_cell_length_a 6.064
_cell_length_b 6.603
_cell_length_c 6.064
_cell_angle_alpha 90.00
_cell_angle_beta 90.00
_cell_angle_gamma 90.00
loop_
_space_group_symop_operation_xyz
'x,y,z'
loop_
_atom_site_label
_atom_site_fract_x
_atom_site_fract_y
_atom_site_fract_z
Ba1 0.000 0.000 0.000
Fe1 0.500 0.500 0.500
Br1 0.500 0.000 0.000
Br2 0.000 0.000 0.500
As1 0.000 0.500 0.000
```

# 2
Entry from Alexandria: a geometry-optimized PrGa4Ru3 structure (PBE-GGA).

space-group type	No. 51
E_form	-246	meV/atom

```
data_PrGa4Ru3
_space_group_name_H-M_alt 'P 1'
_space_group_IT_number 1
_cell_length_a 4.439
_cell_length_b 6.756
_cell_length_c 8.871
_cell_angle_alpha 90.00
_cell_angle_beta 90.00
_cell_angle_gamma 90.00
loop_
_space_group_symop_operation_xyz
'x,y,z'
loop_
_atom_site_label
_atom_site_fract_x
_atom_site_fract_y
_atom_site_fract_z
Pr1 0.000 0.500 0.000
Pr2 0.000 0.500 0.500
Ga1 0.014 0.794 0.750
Ru1 0.000 0.000 0.000
Ga2 0.500 0.794 0.500
Ru2 0.488 0.000 0.250
Ru3 0.000 0.000 0.500
Ru4 0.476 0.500 0.750
Ga3 0.500 0.794 0.000
Ga4 0.500 0.206 0.500
Ru5 0.512 0.000 0.750
Ru6 0.524 0.500 0.250
Ga5 0.500 0.206 0.000
Ga6 0.986 0.206 0.250
Ga7 0.014 0.206 0.750
Ga8 0.986 0.794 0.250
```

# 3
Entry from Alexandria: a geometry-optimized Ca2Sn2F structure (PBE-GGA).

space-group type	No. 127
uncorrected formation energy	-607	kJ/mol of formula units

```
data_Ca2Sn2F
_space_group_name_H-M_alt 'P 1'
_space_group_IT_number 1
_cell_length_a 6.717
_cell_length_b 6.717
_cell_length_c 5.529
_cell_angle_alpha 90.00
_cell_angle_beta 90.00
_cell_angle_gamma 90.00
loop_
_space_group_symop_operation_xyz
'x,y,z'
loop_
_atom_site_label
_atom_site_fract_x
_atom_site_fract_y
_atom_site_fract_z
Sn1 0.841 0.341 0.500
F1 0.000 0.000 0.000
Sn2 0.659 0.841 0.500
Ca1 0.175 0.325 0.000
Ca2 0.325 0.825 0.000
F2 0.500 0.500 0.000
Ca3 0.825 0.675 0.000
Sn3 0.341 0.159 0.500
Sn4 0.159 0.659 0.500
Ca4 0.675 0.175 0.000
```

# 4
Entry from Alexandria: a geometry-optimized Tm3Ag3Pd2 structure (PBE-GGA).

space-group type	No. 189
E_form	-601	meV/atom

```
data_Tm3Ag3Pd2
_space_group_name_H-M_alt 'P 1'
_space_group_IT_number 1
_cell_length_a 3.593
_cell_length_b 7.422
_cell_length_c 7.422
_cell_angle_alpha 120.00
_cell_angle_beta 90.00
_cell_angle_gamma 90.00
loop_
_space_group_symop_operation_xyz
'x,y,z'
loop_
_atom_site_label
_atom_site_fract_x
_atom_site_fract_y
_atom_site_fract_z
Ag1 0.000 0.771 0.771
Tm1 0.500 0.411 0.411
Pd1 0.000 0.667 0.333
Ag2 0.000 0.000 0.229
Tm2 0.500 0.589 0.000
Pd2 0.000 0.333 0.667
Tm3 0.500 0.000 0.589
Ag3 0.000 0.229 0.000
```

# 5
Entry from Alexandria: a geometry-optimized PaGeIrPt structure (PBE-GGA).

space-group type	No. 129
E_form	-712	meV/atom

```
data_PaGeIrPt
_space_group_name_H-M_alt 'P 1'
_space_group_IT_number 1
_cell_length_a 3.996
_cell_length_b 3.996
_cell_length_c 9.536
_cell_angle_alpha 90.00
_cell_angle_beta 90.00
_cell_angle_gamma 90.00
loop_
_space_group_symop_operation_xyz
'x,y,z'
loop_
_atom_site_label
_atom_site_fract_x
_atom_site_fract_y
_atom_site_fract_z
Pt1 0.500 0.000 0.918
Pt2 0.000 0.500 0.082
Ir1 0.000 0.000 0.500
Ge1 0.000 0.500 0.348
Pa1 0.000 0.500 0.777
Ir2 0.500 0.500 0.500
Ge2 0.500 0.000 0.652
Pa2 0.500 0.000 0.223
```

# 6
Entry from Alexandria: a geometry-optimized HoSnPb structure (PBE-GGA).

excess energy over the best structure of this formula in the dataset	0.0	kJ per mole of atoms
space-group type	No. 63
E_form	-466	meV/atom

```
data_HoSnPb
_space_group_name_H-M_alt 'P 1'
_space_group_IT_number 1
_cell_length_a 4.409
_cell_length_b 4.579
_cell_length_c 8.449
_cell_angle_alpha 105.72
_cell_angle_beta 90.00
_cell_angle_gamma 90.00
loop_
_space_group_symop_operation_xyz
'x,y,z'
loop_
_atom_site_label
_atom_site_fract_x
_atom_site_fract_y
_atom_site_fract_z
Ho1 0.250 0.093 0.185
Sn1 0.750 0.565 0.131
Sn2 0.250 0.435 0.869
Pb1 0.250 0.748 0.495
Pb2 0.750 0.252 0.505
Ho2 0.750 0.907 0.815
```

# 7
Entry from Alexandria: a geometry-optimized NaZn6Ag6 structure (PBE-GGA).

space-group type	No. 71
E_form	-61	meV/atom

```
data_NaZn6Ag6
_space_group_name_H-M_alt 'P 1'
_space_group_IT_number 1
_cell_length_a 5.238
_cell_length_b 7.036
_cell_length_c 7.036
_cell_angle_alpha 83.36
_cell_angle_beta 68.15
_cell_angle_gamma 68.15
loop_
_space_group_symop_operation_xyz
'x,y,z'
loop_
_atom_site_label
_atom_site_fract_x
_atom_site_fract_y
_atom_site_fract_z
Ag1 0.309 0.191 0.191
Zn1 0.000 0.500 0.000
Ag2 0.000 0.348 0.652
Na1 0.000 0.000 0.000
Ag3 0.000 0.652 0.348
Zn2 0.500 0.000 0.500
Zn3 0.500 0.500 0.000
Zn4 0.500 0.770 0.230
Ag4 0.345 0.655 0.655
Ag5 0.691 0.809 0.809
Zn5 0.000 0.000 0.500
Ag6 0.655 0.345 0.345
Zn6 0.500 0.230 0.770
```

# 8
Entry from Alexandria: a geometry-optimized NdBePd3 structure (PBE-GGA).

excess energy over the best structure of this formula in the dataset	7.0	kJ per mole of atoms
space-group type	No. 221
E_form	-645	meV/atom

```
data_NdBePd3
_space_group_name_H-M_alt 'P 1'
_space_group_IT_number 1
_cell_length_a 4.432
_cell_length_b 4.432
_cell_length_c 4.432
_cell_angle_alpha 90.00
_cell_angle_beta 90.00
_cell_angle_gamma 90.00
loop_
_space_group_symop_operation_xyz
'x,y,z'
loop_
_atom_site_label
_atom_site_fract_x
_atom_site_fract_y
_atom_site_fract_z
Pd1 0.500 0.000 0.000
Pd2 0.000 0.000 0.500
Be1 0.000 0.000 0.000
Nd1 0.500 0.500 0.500
Pd3 0.000 0.500 0.000
```

# 9
Entry from Alexandria: a geometry-optimized VCoSeBr2 structure (PBE-GGA).

excess energy over the best structure of this formula in the dataset	7.4	kJ per mole of atoms
space-group type	No. 123
uncorrected formation energy	267	kJ/mol of formula units

```
data_VCoSeBr2
_space_group_name_H-M_alt 'P 1'
_space_group_IT_number 1
_cell_length_a 4.565
_cell_length_b 5.828
_cell_length_c 4.565
_cell_angle_alpha 90.00
_cell_angle_beta 90.00
_cell_angle_gamma 90.00
loop_
_space_group_symop_operation_xyz
'x,y,z'
loop_
_atom_site_label
_atom_site_fract_x
_atom_site_fract_y
_atom_site_fract_z
Se1 0.500 0.500 0.500
Br1 0.500 0.000 0.000
Co1 0.000 0.000 0.000
V1 0.000 0.500 0.000
Br2 0.000 0.000 0.500
```

# 10
Entry from Alexandria: a geometry-optimized YNi4Ge12 structure (PBE-GGA).

space-group type	No. 204
E_form	-190	meV/atom

```
data_YNi4Ge12
_space_group_name_H-M_alt 'P 1'
_space_group_IT_number 1
_cell_length_a 7.276
_cell_length_b 7.276
_cell_length_c 7.276
_cell_angle_alpha 109.47
_cell_angle_beta 109.47
_cell_angle_gamma 109.47
loop_
_space_group_symop_operation_xyz
'x,y,z'
loop_
_atom_site_label
_atom_site_fract_x
_atom_site_fract_y
_atom_site_fract_z
Ge1 0.162 0.654 0.815
Ge2 0.654 0.492 0.838
Ni1 0.000 0.000 0.500
Ge3 0.508 0.162 0.346
Ge4 0.815 0.162 0.654
Ge5 0.346 0.508 0.162
Ni2 0.500 0.500 0.500
Ge6 0.654 0.815 0.162
Ge7 0.838 0.654 0.492
Ni3 0.000 0.500 0.000
Ge8 0.162 0.346 0.508
Y1 0.000 0.000 0.000
Ni4 0.500 0.000 0.000
Ge9 0.838 0.346 0.185
Ge10 0.346 0.185 0.838
Ge11 0.492 0.838 0.654
Ge12 0.185 0.838 0.346
```

Number 1: magnetization 2.13 μB per cell, raw total energy -16.9 eV/cell, D(E_F) 11.366 states/eV/cell. Number 2: magnetization 0.00 μB per cell, raw total energy -93.4 eV/cell, D(E_F) 8.545 states/eV/cell. Number 3: magnetization 0.00 μB per cell, raw total energy -40.3 eV/cell, D(E_F) 3.690 states/eV/cell. Number 4: magnetization 0.00 μB per cell, raw total energy -37.2 eV/cell, D(E_F) 6.038 states/eV/cell. Number 5: magnetization 0.00 μB per cell, raw total energy -63.7 eV/cell, D(E_F) 6.143 states/eV/cell. Number 6: magnetization 0.00 μB per cell, raw total energy -27.4 eV/cell, D(E_F) 3.594 states/eV/cell. Number 7: magnetization 0.00 μB per cell, raw total energy -26.9 eV/cell, D(E_F) 4.275 states/eV/cell. Number 8: magnetization 0.00 μB per cell, raw total energy -27.3 eV/cell, D(E_F) 3.751 states/eV/cell. Number 9: magnetization 0.75 μB per cell, raw total energy -20.3 eV/cell, D(E_F) 6.398 states/eV/cell. Number 10: magnetization 0.00 μB per cell, raw total energy -88.2 eV/cell, D(E_F) 8.797 states/eV/cell.